## NaGdSn (PBE-GGA)

Data for a geometry-optimized NaGdSn structure.

Results
Formation enthalpy at 0 K (eV per atom): -0.21
Space-group type: I4mm, No. 107

a = 3.4672 Å, b = 3.4672 Å, c = 7.7849 Å
α = 102.87°, β = 102.87°, γ = 90.00°
With the nearest neighbours (Å) after each atom.
Element x y z (fractional)
Gd (0.3031, 0.3031, 0.6062)  4 Sn 3.25, 4 Gd 3.47
Na (0.5997, 0.5997, 0.1993)  4 Sn 3.33, 4 Na 3.47
Sn (0.9472, 0.9472, 0.8945)  4 Gd 3.25, 4 Na 3.33, 4 Sn 3.47

=====

## ScBeOs2 (PBE-GGA)

Data for a geometry-optimized ScBeOs2 structure.

Results
Formation enthalpy at 0 K (eV per atom): 0.15
Space-group type: I4/mmm, No. 139

a = 4.7990 Å, b = 4.7990 Å, c = 4.7990 Å
α = 132.80°, β = 132.80°, γ = 68.97°
With the nearest neighbours (Å) after each atom.
Element x y z (fractional)
Sc (0.2500, 0.7500, 0.5000)  4 Be 2.72, 8 Os 2.76
Be (0.7500, 0.2500, 0.5000)  4 Sc 2.72, 8 Os 2.76
Os (0.5000, 0.5000, 0.0000)  4 Os 2.72, 4 Sc 2.76, 4 Be 2.76
Os (0.0000, 0.0000, 0.0000)  4 Os 2.72, 4 Be 2.76, 4 Sc 2.76

=====

## Pr5Zn2Sn2 (PBE-GGA)

Data for a geometry-optimized Pr5Zn2Sn2 structure.

Results
Formation enthalpy at 0 K (eV per atom): -0.42
Space-group type: Cmce, No. 64

a = 8.1572 Å, b = 8.2473 Å, c = 9.1329 Å
α = 116.84°, β = 90.00°, γ = 90.00°
With the nearest neighbours (Å) after each atom.
Element x y z (fractional)
Sn (0.0000, 0.7905, 0.5811)  7 Pr 3.22-3.41
Sn (0.5000, 0.2905, 0.5811)  7 Pr 3.22-3.41
Sn (0.5000, 0.7095, 0.4189)  7 Pr 3.22-3.41
Sn (0.0000, 0.2095, 0.4189)  7 Pr 3.22-3.41
Pr (0.3252, 0.6825, 0.7235)  3 Sn 3.22-3.25, 3 Zn 3.30-3.34
Pr (0.8252, 0.5410, 0.7235)  3 Sn 3.22-3.25, 3 Zn 3.30-3.34
Pr (0.6748, 0.3175, 0.2765)  3 Sn 3.22-3.25, 3 Zn 3.30-3.34
Pr (0.0000, 0.0000, 0.0000)  4 Zn 3.26-3.32, 2 Sn 3.41
Pr (0.3252, 0.9590, 0.2765)  3 Sn 3.22-3.25, 3 Zn 3.30-3.34
Pr (0.8252, 0.8175, 0.2765)  3 Sn 3.22-3.25, 3 Zn 3.30-3.34
Pr (0.1748, 0.4590, 0.2765)  3 Sn 3.22-3.25, 3 Zn 3.30-3.34
Pr (0.5000, 0.5000, 0.0000)  4 Zn 3.26-3.32, 2 Sn 3.41
Pr (0.1748, 0.1825, 0.7235)  3 Sn 3.22-3.25, 3 Zn 3.30-3.34
Pr (0.6748, 0.0410, 0.7235)  3 Sn 3.22-3.25, 3 Zn 3.30-3.34
Zn (0.3829, 0.1140, 0.0000)  1 Zn 2.68
Zn (0.8829, 0.3860, 0.0000)  1 Zn 2.68
Zn (0.6171, 0.8860, 0.0000)  1 Zn 2.68
Zn (0.1171, 0.6140, 0.0000)  1 Zn 2.68

=====

## LuMnCoNi (PBE-GGA)

Data for a geometry-optimized LuMnCoNi structure.

Results
Formation enthalpy at 0 K (eV per atom): -0.14
Space-group type: F-43m, No. 216

a = 4.3748 Å, b = 4.3748 Å, c = 4.3748 Å
α = 60.00°, β = 60.00°, γ = 60.00°
With the nearest neighbours (Å) after each atom.
Element x y z (fractional)
Mn (0.5000, 0.5000, 0.5000)  4 Co 2.68, 4 Ni 2.68
Co (0.7500, 0.7500, 0.7500)  4 Lu 2.68, 4 Mn 2.68
Lu (0.0000, 0.0000, 0.0000)  4 Ni 2.68, 4 Co 2.68
Ni (0.2500, 0.2500, 0.2500)  4 Mn 2.68, 4 Lu 2.68

=====

## Sm6SnHg2Te3 (PBE-GGA)

Data for a geometry-optimized Sm6SnHg2Te3 structure.

Results
Formation energy (no corrections) (kcal/mol of atoms): -22.36
Space-group type: C2/m, No. 12

a = 4.3619 Å, b = 9.0544 Å, c = 10.1800 Å
α = 108.74°, β = 102.37°, γ = 90.00°
With the nearest neighbours (Å) after each atom.
Element x y z (fractional)
Sm (0.6676, 0.1089, 0.3351)  1 Sn 3.15, 3 Te 3.15-3.27, 2 Hg 3.19
Sm (0.0054, 0.2478, 0.0108)  2 Sn 3.11, 3 Te 3.17-3.19, 1 Hg 3.28
Sm (0.9946, 0.7522, 0.9892)  2 Sn 3.11, 3 Te 3.17-3.19, 1 Hg 3.28
Sm (0.3373, 0.3932, 0.6745)  3 Te 3.06-3.13, 3 Hg 3.08-3.13
Sm (0.3324, 0.8911, 0.6649)  1 Sn 3.15, 3 Te 3.15-3.27, 2 Hg 3.19
Sm (0.6627, 0.6068, 0.3255)  3 Te 3.06-3.13, 3 Hg 3.08-3.13
Hg (0.8202, 0.6263, 0.6404)  6 Sm 3.08-3.28
Hg (0.1798, 0.3737, 0.3596)  6 Sm 3.08-3.28
Te (0.1633, 0.8550, 0.3265)  6 Sm 3.13-3.27
Te (0.5000, 0.5000, 0.0000)  6 Sm 3.06-3.19
Te (0.8367, 0.1450, 0.6735)  6 Sm 3.13-3.27
Sn (0.5000, 0.0000, 0.0000)  6 Sm 3.11-3.15

=====

## In3AgO (PBE-GGA)

Data for a geometry-optimized In3AgO structure.

Results
Offset from the most stable computed form (eV per atom): 0.000
Formation energy (no corrections) (kcal/mol of atoms): -3.07
Space-group type: Pm-3m, No. 221

a = 4.8248 Å, b = 4.8248 Å, c = 4.8248 Å
α = 90.00°, β = 90.00°, γ = 90.00°
With the nearest neighbours (Å) after each atom.
Element x y z (fractional)
In (0.5000, 0.0000, 0.0000)  2 O 2.41
In (0.0000, 0.5000, 0.0000)  2 O 2.41
In (0.0000, 0.0000, 0.5000)  2 O 2.41
Ag (0.5000, 0.5000, 0.5000)  12 In 3.41
O (0.0000, 0.0000, 0.0000)  6 In 2.41

=====

## Pm2PSe (PBE-GGA)

Data for a geometry-optimized Pm2PSe structure.

Results
Offset from the most stable computed form (eV per atom): 0.000
Formation energy (no corrections) (kcal/mol of atoms): -41.28
Space-group type: R-3m, No. 166

a = 4.1400 Å, b = 4.1400 Å, c = 7.3083 Å
α = 73.55°, β = 73.55°, γ = 60.00°
With the nearest neighbours (Å) after each atom.
Element x y z (fractional)
Pm (0.2434, 0.2434, 0.2699)  3 P 2.87, 3 Se 3.03
Pm (0.7566, 0.7566, 0.7301)  3 P 2.87, 3 Se 3.03
Se (0.0000, 0.0000, 0.0000)  6 Pm 3.03
P (0.5000, 0.5000, 0.5000)  6 Pm 2.87

=====

## Re2TcNiH (PBE-GGA)

Data for a geometry-optimized Re2TcNiH structure.

Results
Offset from the most stable computed form (eV per atom): 0.000
Space-group type: P4/mmm, No. 123

a = 3.9023 Å, b = 3.9023 Å, c = 3.7906 Å
α = 90.00°, β = 90.00°, γ = 90.00°
With the nearest neighbours (Å) after each atom.
Element x y z (fractional)
Tc (0.5000, 0.5000, 0.5000)  8 Re 2.72, 4 Ni 2.76
Re (0.5000, 0.0000, 0.0000)  2 H 1.95
Re (0.0000, 0.5000, 0.0000)  2 H 1.95
Ni (0.0000, 0.0000, 0.5000)  2 H 1.90
H (0.0000, 0.0000, 0.0000)  2 Ni 1.90, 4 Re 1.95

=====

Number 1: mass density 5.6 g/cm3. Number 2: mass density 12.4 g/cm3. Number 3: mass density 6.5 g/cm3. Number 4: mass density 9.7 g/cm3. Number 5: mass density 8.1 g/cm3. Number 6: mass density 6.9 g/cm3. Number 7: mass density 6.5 g/cm3. Number 8: mass density 15.3 g/cm3.